1.
Material: NdTlPt
Method: DFT, PBE-GGA
State: relaxed

```
NdTlPt
1.0
4.306 0.000 0.000
0.000 4.306 0.000
0.000 0.000 8.161
Nd Tl Pt
2 2 2
Direct
0.250 0.250 0.148
0.750 0.750 0.852
0.250 0.750 0.500
0.750 0.250 0.500
0.250 0.250 0.788
0.750 0.750 0.212
```

Properties
Space-group type: P4/nmm, No. 129
Raw total energy: -5.076 eV per atom

---

2.
Material: BaCaBi
Method: DFT, PBE-GGA
State: relaxed

```
BaCaBi
1.0
-2.783 2.783 8.339
2.783 -2.783 8.339
2.783 2.783 -8.339
Ba Ca Bi
2 2 2
Direct
0.000 0.500 0.500
0.500 0.000 0.500
0.250 0.750 0.500
0.750 0.250 0.500
0.146 0.146 0.000
0.854 0.854 0.000
```

Properties
Space-group type: I4/mmm, No. 139
Energy above the lowest structure with this stoichiometry: 0.158 eV/atom

---

3.
Material: RbBiP3
Method: DFT, PBE-GGA
State: relaxed

```
RbBiP3
1.0
5.414 0.000 0.000
0.000 5.414 0.000
0.000 0.000 5.414
Rb Bi P
1 1 3
Direct
0.000 0.000 0.000
0.500 0.500 0.500
0.000 0.500 0.500
0.500 0.000 0.500
0.500 0.500 0.000
```

Properties
Space-group type: Pm-3m, No. 221
Energy above the lowest structure with this stoichiometry: 0.000 eV/atom

---

Number 1: theoretical density 11.93 g/cm3. Number 2: theoretical density 4.97 g/cm3. Number 3: theoretical density 4.05 g/cm3.